Density functional theory data (PBE-GGA) for a relaxed structure of Cu6SnAu3.

energy	-74.97	eV for the cell shown
DFT formation energy	2.14	kcal/mol of atoms
DOS at the Fermi energy	5.06	states/eV/cell

Geometry as POSCAR:
```
Cu6SnAu3
1.0
2.7453 0.0000 -0.6846
0.0000 6.5600 0.0000
-1.4906 0.0000 17.9375
Cu Sn Au
12 2 6
direct
0.2298 0.8516 0.8620
0.2201 0.7240 0.6133
0.2631 0.4644 0.1324
0.7369 0.5356 0.8676
0.7799 0.2760 0.3867
0.7702 0.1484 0.1380
0.7298 0.6484 0.3620
0.7201 0.7760 0.1133
0.7631 0.0356 0.6324
0.2369 0.9644 0.3676
0.2799 0.2240 0.8867
0.2702 0.3516 0.6380
0.5000 0.5000 0.5000
0.0000 0.0000 0.0000
0.5291 0.0974 0.7619
0.5000 0.5000 0.0000
0.4709 0.9026 0.2381
0.0291 0.4026 0.2619
0.0000 0.0000 0.5000
0.9709 0.5974 0.7381
```


Density functional theory data (PBE-GGA) for a relaxed structure of Cu7SnAu12.

energy	-71.85	eV for the cell shown
DFT formation energy	0.18	kcal/mol of atoms
DOS at the Fermi energy	7.06	states/eV/cell

Geometry as POSCAR:
```
Cu7SnAu12
1.0
-5.6399 0.7106 4.6927
4.7182 -4.7908 3.0203
3.4243 6.5229 -0.2479
Cu Sn Au
7 1 12
direct
0.0970 0.6652 0.9784
0.3348 0.0216 0.9030
0.0216 0.9030 0.3348
0.5000 0.5000 0.5000
0.9784 0.0970 0.6652
0.6652 0.9784 0.0970
0.9030 0.3348 0.0216
0.0000 0.0000 0.0000
0.7739 0.3429 0.6420
0.6571 0.3580 0.2261
0.3995 0.0232 0.2865
0.9768 0.7135 0.6005
0.3580 0.2261 0.6571
0.7135 0.6005 0.9768
0.2865 0.3995 0.0232
0.6420 0.7739 0.3429
0.0232 0.2865 0.3995
0.6005 0.9768 0.7135
0.3429 0.6420 0.7739
0.2261 0.6571 0.3580
```


Density functional theory data (PBE-GGA) for a relaxed structure of Cu3SnAu.

energy	-78.03	eV for the cell shown
DFT formation energy	0.28	kcal/mol of atoms
DOS at the Fermi energy	4.54	states/eV/cell

Geometry as POSCAR:
```
Cu3SnAu
1.0
7.5535 -0.0094 0.0000
-3.7773 6.0286 0.0000
0.0000 0.0000 6.9600
Cu Sn Au
12 4 4
direct
0.7282 0.8366 0.9066
0.2718 0.1634 0.0934
0.7718 0.1634 0.4066
0.2282 0.8366 0.5934
0.3301 0.6548 0.8875
0.6699 0.3452 0.1125
0.1699 0.3452 0.3875
0.8301 0.6548 0.6125
0.9932 0.5664 0.3296
0.0068 0.4336 0.6704
0.5068 0.4336 0.8296
0.4932 0.5664 0.1704
0.3942 0.8815 0.2203
0.6058 0.1185 0.7797
0.1058 0.1185 0.7203
0.8942 0.8815 0.2797
0.5151 0.7159 0.5463
0.4849 0.2841 0.4537
0.9849 0.2841 0.0463
0.0151 0.7159 0.9537
```


Density functional theory data (PBE-GGA) for a relaxed structure of CuSnAu.

energy	-11.21	eV for the cell shown
DFT formation energy	1.28	kcal/mol of atoms
DOS at the Fermi energy	1.06	states/eV/cell

Geometry as POSCAR:
```
CuSnAu
1.0
-1.9237 -0.7331 2.9103
1.1756 -4.1746 -0.2745
2.4126 2.7902 2.2976
Au Sn Cu
1 1 1
direct
0.0724 0.0000 0.0000
0.6419 0.6667 0.3333
0.2858 0.3333 0.6667
```


Density functional theory data (PBE-GGA) for a relaxed structure of CuSnAu4.

energy	-42.56	eV for the cell shown
DFT formation energy	-0.28	kcal/mol of atoms
DOS at the Fermi energy	3.22	states/eV/cell

Geometry as POSCAR:
```
CuSnAu4
1.0
4.6506 -0.1078 0.0139
-0.1086 4.6571 -0.0946
-2.2457 -2.0192 10.3096
Cu Sn Au
2 2 8
direct
0.5000 0.0000 0.5000
0.0000 0.5000 0.5000
0.7500 0.7500 0.0001
0.2500 0.2500 0.9999
0.6509 0.1516 0.8082
0.8492 0.3485 0.1918
0.3491 0.8484 0.1918
0.1508 0.6515 0.8082
0.0672 0.0676 0.6384
0.4329 0.4324 0.3616
0.9328 0.9324 0.3616
0.5671 0.5676 0.6384
```


Density functional theory data (PBE-GGA) for a relaxed structure of Cu6SnAu12.

energy	-68.08	eV for the cell shown
DFT formation energy	-0.21	kcal/mol of atoms
DOS at the Fermi energy	7.33	states/eV/cell

Geometry as POSCAR:
```
Cu6SnAu12
1.0
6.6646 0.0000 2.1365
-3.3245 6.2577 2.7282
0.0157 0.0000 7.5930
Cu Sn Au
6 1 12
direct
0.4200 0.4659 0.2201
0.0459 0.6860 0.5341
0.3599 0.7799 0.6860
0.5800 0.5341 0.7799
0.9541 0.3140 0.4659
0.6401 0.2201 0.3140
0.0000 0.0000 0.0000
0.5195 0.8605 0.2776
0.6590 0.8619 0.8605
0.7972 0.2776 0.8619
0.4805 0.1395 0.7224
0.3410 0.1381 0.1395
0.2028 0.7224 0.1381
0.2669 0.4352 0.6160
0.1171 0.3840 0.0512
0.1683 0.0512 0.5648
0.7331 0.5648 0.3840
0.8829 0.6160 0.9488
0.8317 0.9488 0.4352
```


Density functional theory data (PBE-GGA) for a relaxed structure of CuSn3Au2.

energy	-92.18	eV for the cell shown
DFT formation energy	-1.48	kcal/mol of atoms
DOS at the Fermi energy	9.07	states/eV/cell

Geometry as POSCAR:
```
CuSn3Au2
1.0
-3.5583 -0.9331 1.8011
0.3556 -10.1139 -4.5370
5.7663 -3.9823 9.3293
Cu Sn Au
4 12 8
direct
0.2500 0.1417 0.1345
0.7500 0.8583 0.8655
0.7500 0.6417 0.3655
0.2500 0.3583 0.6345
0.2500 0.3787 0.0525
0.7500 0.6213 0.9475
0.7500 0.8787 0.4475
0.2500 0.1213 0.5525
0.2500 0.7124 0.2258
0.7500 0.2876 0.7742
0.7500 0.2124 0.2742
0.2500 0.7876 0.7258
0.2500 0.4534 0.3740
0.7500 0.5466 0.6260
0.7500 0.9534 0.1260
0.2500 0.0466 0.8740
0.2500 0.6882 0.5055
0.7500 0.3118 0.4945
0.7500 0.1882 0.9945
0.2500 0.8118 0.0055
0.2500 0.0101 0.3252
0.7500 0.9899 0.6748
0.7500 0.5101 0.1748
0.2500 0.4899 0.8252
```


Density functional theory data (PBE-GGA) for a relaxed structure of CuSnAu.

energy	-11.40	eV for the cell shown
DFT formation energy	-0.16	kcal/mol of atoms
DOS at the Fermi energy	1.36	states/eV/cell

Geometry as POSCAR:
```
CuSnAu
1.0
-1.5577 2.7531 -1.9010
1.0099 -1.6122 -3.1624
-3.2572 -2.6241 2.4510
Au Sn Cu
1 1 1
direct
0.9506 0.9506 0.9013
0.6142 0.6142 0.2283
0.2852 0.2852 0.5704
```


Density functional theory data (PBE-GGA) for a relaxed structure of CuSn4Au5.

energy	-37.62	eV for the cell shown
DFT formation energy	-2.59	kcal/mol of atoms
DOS at the Fermi energy	3.43	states/eV/cell

Geometry as POSCAR:
```
CuSn4Au5
1.0
-3.0262 -4.7566 1.6512
3.4999 -5.7422 0.3224
-0.1601 -1.2285 6.6175
Cu Sn Au
1 4 5
direct
0.7938 0.0000 0.0000
0.8514 0.6329 0.7663
0.6177 0.2337 0.6329
0.4843 0.7663 0.3671
0.2506 0.3671 0.2337
0.2913 0.6636 0.8295
0.1208 0.1705 0.6636
0.9549 0.8295 0.3364
0.7844 0.3364 0.1705
0.3403 0.0000 0.0000
```


Density functional theory data (PBE-GGA) for a relaxed structure of CuSnAu2.

energy	-14.75	eV for the cell shown
DFT formation energy	-0.57	kcal/mol of atoms
DOS at the Fermi energy	1.58	states/eV/cell

Geometry as POSCAR:
```
CuSnAu2
1.0
-1.6033 -2.5652 -1.5951
2.6948 -0.3989 -2.0673
2.5251 -4.1194 4.0865
Au Sn Cu
2 1 1
direct
0.0000 0.0000 0.7793
0.0000 0.0000 0.2207
0.5000 0.5000 0.5000
0.5000 0.5000 0.0000
```


Density functional theory data (PBE-GGA) for a relaxed structure of Cu2Sn2Au.

energy	-17.79	eV for the cell shown
DFT formation energy	7.77	kcal/mol of atoms
DOS at the Fermi energy	1.92	states/eV/cell

Geometry as POSCAR:
```
Cu2Sn2Au
1.0
4.2685 0.0000 0.0000
0.0000 4.2685 0.0000
2.1342 2.1342 5.6570
Au Sn Cu
1 2 2
direct
0.0000 0.0000 0.0000
0.7500 0.2500 0.5000
0.2500 0.7500 0.5000
0.3970 0.3970 0.2060
0.6030 0.6030 0.7940
```


Density functional theory data (PBE-GGA) for a relaxed structure of Cu5Sn12Au3.

energy	-309.95	eV for the cell shown
DFT formation energy	0.99	kcal/mol of atoms
DOS at the Fermi energy	24.61	states/eV/cell

Geometry as POSCAR:
```
Cu5Sn12Au3
1.0
-11.8638 -2.7013 -6.3431
1.6704 -8.7029 10.4762
-0.1735 12.8777 4.7348
Au Sn Cu
12 48 20
direct
0.7500 0.3750 0.1250
0.8750 0.7500 0.1250
0.3750 0.7500 0.6250
0.2500 0.1250 0.3750
0.8750 0.1250 0.2500
0.3750 0.6250 0.2500
0.6250 0.3750 0.7500
0.1250 0.8750 0.7500
0.7500 0.8750 0.6250
0.6250 0.2500 0.3750
0.1250 0.2500 0.8750
0.2500 0.6250 0.8750
0.7210 0.1256 0.0497
0.3287 0.5497 0.4241
0.9503 0.3744 0.2790
0.5497 0.2210 0.1256
0.5954 0.7210 0.6713
0.9503 0.5759 0.1713
0.3287 0.7790 0.4046
0.0759 0.9046 0.1256
0.5759 0.9503 0.6713
0.7210 0.5954 0.1713
0.7790 0.4503 0.3744
0.8287 0.9241 0.0497
0.1256 0.7210 0.5497
0.3744 0.4241 0.0954
0.0954 0.9241 0.3744
0.4046 0.1256 0.5759
0.0954 0.1713 0.2210
0.4503 0.6713 0.0759
0.8287 0.9046 0.2790
0.1256 0.4046 0.0759
0.3744 0.9503 0.7790
0.5759 0.6256 0.4046
0.9241 0.8287 0.5497
0.7790 0.3287 0.9046
0.4241 0.3744 0.5954
0.0759 0.1713 0.4503
0.2210 0.6713 0.0954
0.1713 0.0954 0.7210
0.6256 0.0497 0.2210
0.8744 0.5954 0.9241
0.5497 0.3287 0.9241
0.5954 0.8744 0.4241
0.9046 0.8287 0.7790
0.9046 0.0759 0.6256
0.8744 0.2790 0.4503
0.1713 0.0759 0.9503
0.6256 0.5759 0.9046
0.4241 0.0497 0.3287
0.2790 0.4046 0.8287
0.2210 0.5497 0.6256
0.9241 0.0954 0.8744
0.6713 0.2210 0.5954
0.4503 0.7790 0.8744
0.0497 0.4241 0.8287
0.4046 0.2790 0.3287
0.0497 0.6256 0.7210
0.6713 0.4503 0.5759
0.2790 0.8744 0.9503
0.1250 0.3750 0.2500
0.0000 0.5000 0.0000
0.0000 0.0000 0.0000
0.3750 0.2500 0.1250
0.5000 0.0000 0.5000
0.5000 0.5000 0.0000
0.1250 0.7500 0.3750
0.7500 0.1250 0.8750
0.7500 0.6250 0.3750
0.3750 0.1250 0.7500
0.6250 0.8750 0.2500
0.5000 0.5000 0.5000
0.5000 0.0000 0.0000
0.0000 0.0000 0.5000
0.2500 0.3750 0.6250
0.2500 0.8750 0.1250
0.0000 0.5000 0.5000
0.8750 0.2500 0.6250
0.6250 0.7500 0.8750
0.8750 0.6250 0.7500
```


Density functional theory data (PBE-GGA) for a relaxed structure of CuSn2Au2.

energy	-37.71	eV for the cell shown
DFT formation energy	-0.92	kcal/mol of atoms
DOS at the Fermi energy	2.90	states/eV/cell

Geometry as POSCAR:
```
CuSn2Au2
1.0
-3.0041 -4.2319 3.9515
1.5589 -1.1344 -5.4135
5.8196 -0.4205 3.9739
Cu Sn Au
2 4 4
direct
0.7545 0.0000 0.7500
0.2455 0.0000 0.2500
0.5790 0.3235 0.6442
0.2555 0.6765 0.8558
0.4210 0.6765 0.3558
0.7445 0.3235 0.1442
0.7647 0.7862 0.0426
0.9785 0.2138 0.4574
0.2353 0.2138 0.9574
0.0215 0.7862 0.5426
```


Density functional theory data (PBE-GGA) for a relaxed structure of Cu2SnAu6.

energy	-32.05	eV for the cell shown
DFT formation energy	-0.48	kcal/mol of atoms
DOS at the Fermi energy	2.26	states/eV/cell

Geometry as POSCAR:
```
Cu2SnAu6
1.0
-0.3603 3.4569 1.2914
-1.9747 -0.0043 4.7835
7.2334 0.5651 5.8282
Cu Sn Au
2 1 6
direct
0.3188 0.6090 0.7535
0.6812 0.3910 0.2465
0.0000 0.5000 0.5000
0.6606 0.7299 0.9489
0.3394 0.2701 0.0511
0.0051 0.8080 0.1819
0.3102 0.0012 0.3785
0.9949 0.1920 0.8181
0.6898 0.9988 0.6215
```


Density functional theory data (PBE-GGA) for a relaxed structure of Cu5SnAu4.

energy	-36.93	eV for the cell shown
DFT formation energy	1.54	kcal/mol of atoms
DOS at the Fermi energy	2.77	states/eV/cell

Geometry as POSCAR:
```
Cu5SnAu4
1.0
-0.0019 1.8166 -4.1215
4.0464 -9.1691 -0.3885
-5.4755 2.1911 1.3712
Cu Sn Au
5 1 4
direct
0.8658 0.4005 0.6876
0.8374 0.8270 0.6368
0.1626 0.1730 0.3632
0.5000 0.5000 0.0000
0.1342 0.5995 0.3124
0.5000 0.0000 0.0000
0.4570 0.6472 0.7916
0.1301 0.8512 0.2767
0.5430 0.3528 0.2084
0.8699 0.1488 0.7233
```


Density functional theory data (PBE-GGA) for a relaxed structure of Cu5SnAu.

energy	-27.30	eV for the cell shown
DFT formation energy	1.52	kcal/mol of atoms
DOS at the Fermi energy	2.70	states/eV/cell

Geometry as POSCAR:
```
Cu5SnAu
1.0
4.7187 -0.1525 -0.0002
-1.6797 4.4122 -0.0002
-0.0002 -0.0002 5.2468
Cu Sn Au
5 1 1
direct
0.5000 0.0000 0.2453
0.0000 0.5000 0.2453
0.0000 0.0000 0.5000
0.0000 0.5000 0.7547
0.5000 0.0000 0.7547
0.5000 0.5000 0.5000
0.0000 0.0000 0.0000
```


Density functional theory data (PBE-GGA) for a relaxed structure of Cu2Sn2Au.

energy	-38.73	eV for the cell shown
DFT formation energy	0.51	kcal/mol of atoms
DOS at the Fermi energy	3.92	states/eV/cell

Geometry as POSCAR:
```
Cu2Sn2Au
1.0
6.8946 0.0000 0.0000
0.0000 6.8946 0.0000
0.0000 0.0000 3.9455
Au Sn Cu
2 4 4
direct
0.0000 0.0000 0.0000
0.5000 0.5000 0.0000
0.1705 0.6705 0.5000
0.6705 0.8295 0.5000
0.8295 0.3295 0.5000
0.3295 0.1705 0.5000
0.3703 0.8703 0.0000
0.8703 0.6297 0.0000
0.6297 0.1297 0.0000
0.1297 0.3703 0.0000
```


Density functional theory data (PBE-GGA) for a relaxed structure of CuSnAu.

energy	-22.84	eV for the cell shown
DFT formation energy	-0.33	kcal/mol of atoms
DOS at the Fermi energy	1.73	states/eV/cell

Geometry as POSCAR:
```
CuSnAu
1.0
-3.4311 -0.3718 4.2866
-5.3721 -0.3212 -0.6127
-0.7229 -4.6183 2.7353
Cu Sn Au
2 2 2
direct
0.4610 0.2674 0.9545
0.9610 0.2676 0.9544
0.2105 0.9033 0.3197
0.7106 0.6327 0.5902
0.9607 0.7676 0.9552
0.4607 0.2682 0.4546
```